The following is a DFT calculation (PBE) of a relaxed Tb5Pr3Tm3 crystal.

- ΔE_f (eV per atom) = 0.803
- DOS(E_F) (states/eV/cell) = 14.97

a b c (Å): 9.7232 9.7232 5.3190
angles (deg): 90.00 90.00 120.00
Closest atoms and distances in Å follow each position.
Space group P-62m (No. 189)
One atom of each set of equivalent atoms:
Tb  0.0000  0.2607  0.0000 x3  2 Pr 3.16, 2 Tm 3.27
Tb  0.3333  0.6667  0.0000 x2  3 Pr 3.10
Pr  0.0000  0.6365  0.0000 x3  4 Tb 3.10-3.16, 2 Tm 3.18
Tm  0.0000  0.4564  0.5000 x3  2 Pr 3.18, 2 Tb 3.27

The following is a DFT calculation (PBE) of a relaxed TbPrTm2 crystal.

- ΔE_f (eV per atom) = 0.106
- DOS(E_F) (states/eV/cell) = 25.44

a b c (Å): 8.0302 8.0302 8.0302
angles (deg): 90.00 90.00 90.00
Closest atoms and distances in Å follow each position.
Space group Fm-3m (No. 225)
One atom of each set of equivalent atoms:
Tb  0.0000  0.0000  0.0000 x4  8 Tm 3.48
Pr  0.0000  0.0000  0.5000 x4  8 Tm 3.48
Tm  0.2500  0.2500  0.2500 x8  4 Tb 3.48, 4 Pr 3.48

The following is a DFT calculation (PBE) of a relaxed TbPr7Tm2 crystal.

- ΔE_f (eV per atom) = 0.629
- DOS(E_F) (states/eV/cell) = 30.35

a b c (Å): 8.9994 16.3257 5.7456
angles (deg): 90.00 90.00 90.00
Closest atoms and distances in Å follow each position.
Space group Cmmm (No. 65)
One atom of each set of equivalent atoms:
Tb  0.0000  0.0000  0.0000 x2  10 Pr 3.69-3.79
Pr  0.0000  0.2261  0.0000 x4  2 Tm 3.09
Pr  0.0000  0.5000  0.5000 x2  2 Tm 3.34, 4 Pr 3.44
Pr  0.1802  0.1149  0.5000 x8  2 Tm 3.23-3.36, 2 Pr 3.24-3.44
Tm  0.0000  0.2952  0.5000 x4  7 Pr 3.09-3.36

The following is a DFT calculation (PBE) of a relaxed Tb3Pr2Tm6 crystal.

- ΔE_f (eV per atom) = 0.185
- DOS(E_F) (states/eV/cell) = 33.01

a b c (Å): 6.0789 10.5417 11.6469
angles (deg): 90.00 100.08 90.00
Closest atoms and distances in Å follow each position.
Space group C2/m (No. 12)
One atom of each set of equivalent atoms:
Tb  0.0000  0.0000  0.0000 x2  6 Tm 3.48, 6 Tb 3.50-3.53
Tb  0.0000  0.3353  0.0000 x4  6 Tm 3.47-3.49, 6 Tb 3.47-3.53
Pr  0.0000  0.1667  0.5000 x4  3 Pr 3.51, 6 Tm 3.54-3.55
Tm  0.2489  0.1666  0.2465 x8  3 Tb 3.48-3.49, 6 Tm 3.51, 2 Pr 3.54-3.55
Tm  0.2488  0.5000  0.2465 x4  3 Tb 3.47-3.48, 6 Tm 3.51, 2 Pr 3.54

The following is a DFT calculation (PBE) of a relaxed Tb7PrTm3 crystal.

- ΔE_f (eV per atom) = 0.137
- DOS(E_F) (states/eV/cell) = 15.95

a b c (Å): 6.9499 5.5518 9.8516
angles (deg): 90.00 109.43 90.00
Closest atoms and distances in Å follow each position.
Space group P2/m (No. 10)
One atom of each set of equivalent atoms:
Tb  0.0000  0.0000  0.0000 x1  4 Tm 3.38, 2 Tb 3.77
Tb  0.1475  0.5000  0.2901 x2  3 Tb 3.29-3.57, 2 Tm 3.30-3.33
Tb  0.3277  0.5000  0.6436 x2  5 Tb 3.28-3.57, 3 Tm 3.50-3.61, 2 Pr 3.57
Tb  0.4262  0.0000  0.8324 x2  3 Tb 3.11-3.28, 1 Tm 3.48
Pr  0.0000  0.0000  0.5000 x1  2 Tm 3.47, 10 Tb 3.57-3.80
Tm  0.2759  0.5000  0.9960 x2  1 Tm 3.09, 4 Tb 3.30-3.38
Tm  0.5000  0.0000  0.5000 x1  2 Pr 3.47, 10 Tb 3.48-3.82

The following is a DFT calculation (PBE) of a relaxed Tb7PrTm5 crystal.

- ΔE_f (eV per atom) = 0.245
- DOS(E_F) (states/eV/cell) = 53.14

a b c (Å): 6.6402 11.1895 11.5051
angles (deg): 90.00 90.00 90.00
Closest atoms and distances in Å follow each position.
Space group Imm2 (No. 44)
One atom of each set of equivalent atoms:
Tb  0.0000  0.0000  0.0000 x2  6 Tm 3.32-3.48, 1 Pr 3.48, 1 Tb 3.53
Tb  0.0000  0.0000  0.3065 x2  7 Tb 3.53-3.90, 4 Tm 3.76
Tb  0.0000  0.3265  0.7486 x4  3 Tb 3.43-3.75, 5 Tm 3.44, 1 Pr 3.70
Tb  0.0000  0.3288  0.2512 x4  5 Tm 3.44-3.46, 5 Tb 3.53-3.83
Tb  0.0000  0.5000  0.9939 x2  4 Tm 3.13, 2 Tb 3.43
Pr  0.0000  0.0000  0.6977 x2  7 Tb 3.48-3.88, 4 Tm 3.79
Tm  0.0000  0.5000  0.5018 x2  6 Tb 3.32-3.46, 4 Tm 3.39
Tm  0.2365  0.2316  0.4994 x8  6 Tb 3.13-3.48, 3 Tm 3.14-3.50

The following is a DFT calculation (PBE) of a relaxed Tb5Pr4Tm3 crystal.

- ΔE_f (eV per atom) = 0.224
- DOS(E_F) (states/eV/cell) = 40.18

a b c (Å): 16.2114 5.9447 9.4314
angles (deg): 90.00 116.93 90.00
Closest atoms and distances in Å follow each position.
Space group C2/m (No. 12)
One atom of each set of equivalent atoms:
Tb  0.0000  0.0000  0.0000 x2  4 Tm 2.97-3.14
Tb  0.0707  0.5000  0.7039 x4  2 Tm 3.30-3.47, 2 Tb 3.47-3.62
Tb  0.1708  0.5000  0.3836 x4  4 Tm 3.22-3.48, 3 Pr 3.45-3.54
Pr  0.0847  0.0000  0.4465 x4  2 Pr 3.33-3.67, 3 Tb 3.45-3.54, 1 Tm 3.46
Pr  0.2176  0.0000  0.8811 x4  3 Tm 3.38-3.53, 3 Pr 3.58-3.67, 3 Tb 3.69-3.70
Tm  0.0000  0.5000  0.0000 x2  2 Tb 2.97
Tm  0.2124  0.0000  0.2353 x4  5 Tb 3.14-3.48, 2 Pr 3.38-3.46

The following is a DFT calculation (PBE) of a relaxed TbPr8Tm5 crystal.

- ΔE_f (eV per atom) = 0.249
- DOS(E_F) (states/eV/cell) = 41.76

a b c (Å): 9.7141 9.7141 10.3465
angles (deg): 90.00 90.00 90.00
Closest atoms and distances in Å follow each position.
Space group I-4 (No. 82)
One atom of each set of equivalent atoms:
Tb  0.0000  0.0000  0.0000 x2  4 Pr 3.25
Pr  0.0678  0.8285  0.6554 x8  5 Tm 3.40-3.67, 3 Pr 3.58-3.70
Pr  0.0909  0.6783  0.9977 x8  4 Tm 3.22-3.51, 1 Tb 3.25
Tm  0.0000  0.5000  0.7500 x2  8 Pr 3.22-3.40
Tm  0.1086  0.7017  0.3236 x8  8 Pr 3.38-3.67, 2 Tm 3.50

What did the second record say?
The following is a DFT calculation (PBE) of a relaxed TbPrTm2 crystal.

- ΔE_f (eV per atom) = 0.106
- DOS(E_F) (states/eV/cell) = 25.44

a b c (Å): 8.0302 8.0302 8.0302
angles (deg): 90.00 90.00 90.00
Closest atoms and distances in Å follow each position.
Space group Fm-3m (No. 225)
One atom of each set of equivalent atoms:
Tb  0.0000  0.0000  0.0000 x4  8 Tm 3.48
Pr  0.0000  0.0000  0.5000 x4  8 Tm 3.48
Tm  0.2500  0.2500  0.2500 x8  4 Tb 3.48, 4 Pr 3.48